(1)
LaPm2Sm4Ho2 | Alexandria via LeMat-Bulk | PBE | relaxed; calculated formation energy = 0.068 eV per atom
1.0
6.107 0.000 0.000
2.913 6.066 0.000
3.017 0.273 8.286
La Pm Sm Ho
1 2 4 2
Direct
0.000 0.000 0.000
0.265 0.676 0.652
0.735 0.324 0.348
0.268 0.416 0.121
0.379 0.865 0.244
0.621 0.135 0.756
0.732 0.584 0.879
0.186 0.230 0.552
0.814 0.770 0.448



(2)
La2Pm5SmHo | Alexandria via LeMat-Bulk | PBE | relaxed; calculated formation energy = 0.249 eV per atom
1.0
-4.363 4.363 8.217
4.363 -4.363 8.217
4.363 4.363 -8.217
La Pm Sm Ho
4 10 2 2
Direct
0.120 0.620 0.740
0.380 0.120 0.500
0.620 0.880 0.500
0.880 0.380 0.260
0.000 0.000 0.000
0.076 0.138 0.500
0.138 0.638 0.063
0.362 0.424 0.500
0.424 0.924 0.063
0.500 0.500 0.000
0.576 0.076 0.937
0.638 0.576 0.500
0.862 0.362 0.937
0.924 0.862 0.500
0.250 0.250 0.000
0.750 0.750 0.000
0.250 0.750 0.500
0.750 0.250 0.500



(3)
La2Pm3SmHo6 | Alexandria via LeMat-Bulk | PBE | relaxed; calculated formation energy = 0.015 eV per atom
1.0
3.129 -5.418 0.000
3.129 5.418 0.000
-2.080 0.000 11.642
La Pm Sm Ho
2 3 1 6
Direct
0.167 0.833 0.000
0.833 0.167 0.000
0.000 0.000 0.500
0.333 0.667 0.500
0.667 0.333 0.500
0.500 0.500 0.000
0.083 0.416 0.748
0.252 0.252 0.252
0.416 0.083 0.748
0.584 0.917 0.252
0.748 0.748 0.748
0.917 0.584 0.252



(4)
LaPmSm2Ho4 | Alexandria via LeMat-Bulk | PBE | relaxed; calculated formation energy = 0.018 eV per atom
1.0
7.229 0.000 0.000
0.039 7.232 0.000
0.006 0.004 10.044
La Pm Sm Ho
2 2 4 8
Direct
0.000 0.000 0.000
0.000 0.500 0.000
0.000 0.000 0.500
0.500 0.000 0.000
0.000 0.500 0.500
0.500 0.000 0.500
0.500 0.500 0.000
0.500 0.500 0.500
0.252 0.250 0.252
0.252 0.250 0.748
0.252 0.750 0.252
0.252 0.750 0.748
0.748 0.250 0.252
0.748 0.250 0.748
0.748 0.750 0.252
0.748 0.750 0.748



(5)
LaPm3SmHo | Alexandria via LeMat-Bulk | PBE | relaxed; calculated formation energy = 0.021 eV per atom
1.0
8.132 0.000 0.000
0.000 5.170 0.000
-3.262 0.000 9.773
La Pm Sm Ho
2 6 2 2
Direct
0.168 0.250 0.291
0.832 0.750 0.709
0.169 0.750 0.544
0.170 0.250 0.793
0.171 0.750 0.041
0.829 0.250 0.959
0.830 0.750 0.207
0.831 0.250 0.456
0.500 0.250 0.627
0.500 0.750 0.373
0.497 0.750 0.877
0.503 0.250 0.123



(6)
LaPm2SmHo5 | Alexandria via LeMat-Bulk | PBE | relaxed; calculated formation energy = 0.251 eV per atom
1.0
-4.374 4.374 7.777
4.374 -4.374 7.777
4.374 4.374 -7.777
La Pm Sm Ho
2 4 2 10
Direct
0.250 0.250 0.000
0.750 0.750 0.000
0.117 0.617 0.734
0.383 0.117 0.500
0.617 0.883 0.500
0.883 0.383 0.266
0.250 0.750 0.500
0.750 0.250 0.500
0.000 0.000 0.000
0.072 0.156 0.500
0.156 0.656 0.084
0.344 0.428 0.500
0.428 0.928 0.084
0.500 0.500 0.000
0.572 0.072 0.916
0.656 0.572 0.500
0.844 0.344 0.916
0.928 0.844 0.500



(7)
LaPm4SmHo2 | Alexandria via LeMat-Bulk | PBE | relaxed; calculated formation energy = 0.019 eV per atom
1.0
6.260 0.000 0.000
0.000 3.639 0.000
-2.119 0.000 11.874
La Pm Sm Ho
1 4 1 2
Direct
0.000 0.000 0.000
0.251 0.000 0.750
0.252 0.500 0.253
0.748 0.500 0.747
0.749 0.000 0.250
0.000 0.500 0.500
0.500 0.000 0.500
0.500 0.500 0.000



(8)
LaPmSm6Ho2 | Alexandria via LeMat-Bulk | PBE | relaxed; calculated formation energy = 0.118 eV per atom
1.0
4.650 -7.612 0.000
4.650 7.612 0.000
-1.253 0.000 9.641
La Pm Sm Ho
2 2 12 4
Direct
0.094 0.906 0.750
0.906 0.094 0.250
0.468 0.532 0.250
0.532 0.468 0.750
0.013 0.795 0.380
0.065 0.520 0.180
0.205 0.987 0.120
0.257 0.611 0.557
0.389 0.743 0.943
0.480 0.935 0.320
0.520 0.065 0.680
0.611 0.257 0.057
0.743 0.389 0.443
0.795 0.013 0.880
0.935 0.480 0.820
0.987 0.205 0.620
0.205 0.304 0.952
0.304 0.205 0.452
0.696 0.795 0.548
0.795 0.696 0.048



(9)
LaPm4Sm2Ho | Alexandria via LeMat-Bulk | PBE | relaxed; calculated formation energy = 0.018 eV per atom
1.0
6.280 0.000 0.000
0.000 3.654 0.000
-2.152 0.000 11.921
La Pm Sm Ho
1 4 2 1
Direct
0.000 0.000 0.000
0.250 0.000 0.751
0.252 0.500 0.252
0.748 0.500 0.748
0.750 0.000 0.249
0.000 0.500 0.500
0.500 0.000 0.500
0.500 0.500 0.000



(10)
La5PmSmHo2 | Alexandria via LeMat-Bulk | PBE | relaxed; calculated formation energy = 0.137 eV per atom
1.0
2.880 -10.412 0.000
2.880 10.412 0.000
0.000 0.000 10.762
La Pm Sm Ho
10 2 2 4
Direct
0.015 0.985 0.500
0.279 0.721 0.802
0.295 0.705 0.190
0.386 0.614 0.507
0.483 0.517 0.229
0.517 0.483 0.729
0.614 0.386 0.007
0.705 0.295 0.690
0.721 0.279 0.302
0.985 0.015 0.000
0.198 0.802 0.498
0.802 0.198 0.998
0.408 0.592 0.942
0.592 0.408 0.442
0.114 0.886 0.222
0.115 0.885 0.796
0.885 0.115 0.296
0.886 0.114 0.722



(11)
LaPm3Sm6Ho2 | Alexandria via LeMat-Bulk | PBE | relaxed; calculated formation energy = 0.018 eV per atom
1.0
3.142 -5.441 0.000
3.142 5.441 0.000
-2.098 0.000 11.870
La Pm Sm Ho
1 3 6 2
Direct
0.000 0.000 0.000
0.167 0.833 0.500
0.500 0.500 0.500
0.833 0.167 0.500
0.083 0.418 0.249
0.251 0.251 0.751
0.418 0.083 0.249
0.582 0.917 0.751
0.749 0.749 0.249
0.917 0.582 0.751
0.333 0.667 0.000
0.667 0.333 0.000



(12)
La2PmSmHo2 | Alexandria via LeMat-Bulk | PBE | relaxed; calculated formation energy = 0.068 eV per atom
1.0
7.120 0.000 0.000
0.000 5.764 0.000
0.000 0.000 9.976
La Pm Sm Ho
4 2 2 4
Direct
0.000 0.000 0.000
0.250 0.500 0.170
0.500 0.000 0.000
0.750 0.500 0.830
0.000 0.500 0.500
0.500 0.500 0.500
0.250 0.000 0.664
0.750 0.000 0.336
0.250 0.000 0.335
0.250 0.500 0.833
0.750 0.000 0.665
0.750 0.500 0.167



(13)
La4Pm2Sm2Ho | Alexandria via LeMat-Bulk | PBE | relaxed; calculated formation energy = 0.022 eV per atom
1.0
7.812 -2.606 0.000
7.812 2.606 0.000
-2.627 0.000 7.755
La Pm Sm Ho
4 2 2 1
Direct
0.054 0.054 0.330
0.277 0.277 0.669
0.723 0.723 0.331
0.946 0.946 0.670
0.388 0.388 0.329
0.612 0.612 0.671
0.166 0.166 0.000
0.834 0.834 0.000
0.500 0.500 0.000



(14)
LaPm2SmHo | Alexandria via LeMat-Bulk | PBE | relaxed; calculated formation energy = 0.271 eV per atom
1.0
8.564 0.000 0.000
0.000 6.553 0.000
-0.724 0.000 6.281
La Pm Sm Ho
2 4 2 2
Direct
0.000 0.000 0.000
0.000 0.000 0.500
0.313 0.313 0.213
0.313 0.687 0.713
0.687 0.313 0.287
0.687 0.687 0.787
0.000 0.439 0.750
0.000 0.561 0.250
0.500 0.166 0.750
0.500 0.834 0.250



(15)
La2PmSm4Ho | Alexandria via LeMat-Bulk | PBE | relaxed; calculated formation energy = 0.024 eV per atom
1.0
5.153 0.000 0.000
0.000 5.167 0.000
-0.017 0.000 10.339
La Pm Sm Ho
2 1 4 1
Direct
0.000 0.000 0.000
0.500 0.500 0.500
0.000 0.000 0.500
0.000 0.500 0.248
0.000 0.500 0.752
0.500 0.000 0.249
0.500 0.000 0.751
0.500 0.500 0.000



(16)
La2PmSmHo4 | Alexandria via LeMat-Bulk | PBE | relaxed; calculated formation energy = 0.018 eV per atom
1.0
6.258 0.000 0.000
0.000 3.623 0.000
-2.104 0.000 11.672
La Pm Sm Ho
2 1 1 4
Direct
0.000 0.000 0.000
0.000 0.500 0.500
0.500 0.000 0.500
0.500 0.500 0.000
0.250 0.000 0.751
0.251 0.500 0.250
0.749 0.500 0.750
0.750 0.000 0.249



(17)
LaPm5SmHo2 | Alexandria via LeMat-Bulk | PBE | relaxed; calculated formation energy = 0.150 eV per atom
1.0
2.858 -10.133 0.000
2.858 10.133 0.000
0.000 0.000 10.707
La Pm Sm Ho
2 10 2 4
Direct
0.083 0.917 0.500
0.917 0.083 0.000
0.022 0.978 0.790
0.112 0.888 0.077
0.204 0.796 0.756
0.219 0.781 0.363
0.483 0.517 0.076
0.517 0.483 0.576
0.781 0.219 0.863
0.796 0.204 0.256
0.888 0.112 0.577
0.978 0.022 0.290
0.299 0.701 0.062
0.701 0.299 0.562
0.384 0.616 0.373
0.388 0.612 0.784
0.612 0.388 0.284
0.616 0.384 0.873



(18)
LaPmSmHo | Alexandria via LeMat-Bulk | PBE | relaxed; calculated formation energy = 0.127 eV per atom
1.0
0.000 4.095 4.095
4.095 0.000 4.095
4.095 4.095 0.000
La Pm Sm Ho
1 1 1 1
Direct
0.000 0.000 0.000
0.250 0.250 0.250
0.500 0.500 0.500
0.750 0.750 0.750



(19)
La2Pm6Sm3Ho | Alexandria via LeMat-Bulk | PBE | relaxed; calculated formation energy = 0.017 eV per atom
1.0
3.164 -5.480 0.000
3.164 5.480 0.000
-2.125 0.000 11.937
La Pm Sm Ho
2 6 3 1
Direct
0.167 0.833 0.000
0.833 0.167 0.000
0.084 0.416 0.748
0.252 0.252 0.252
0.416 0.084 0.748
0.584 0.916 0.252
0.748 0.748 0.748
0.916 0.584 0.252
0.000 0.000 0.500
0.334 0.666 0.500
0.666 0.334 0.500
0.500 0.500 0.000



(20)
LaPm6SmHo2 | Alexandria via LeMat-Bulk | PBE | relaxed; calculated formation energy = 0.116 eV per atom
1.0
4.655 -7.639 0.000
4.655 7.639 0.000
-1.305 0.000 9.674
La Pm Sm Ho
2 12 2 4
Direct
0.094 0.906 0.750
0.906 0.094 0.250
0.012 0.795 0.380
0.066 0.520 0.181
0.205 0.988 0.120
0.258 0.611 0.556
0.389 0.742 0.944
0.480 0.934 0.319
0.520 0.066 0.681
0.611 0.258 0.056
0.742 0.389 0.444
0.795 0.012 0.880
0.934 0.480 0.819
0.988 0.205 0.620
0.469 0.531 0.250
0.531 0.469 0.750
0.207 0.304 0.953
0.304 0.207 0.453
0.696 0.793 0.547
0.793 0.696 0.047